(1)
Density functional theory data (PBE-GGA) for a geometry-optimized Cd2ReAgPb structure.

Output
SG = P4/mmm (123)
Electronic total energy = -3.0984 eV/atom
Spin magnetization = 0.0000 μB per atom
V = 139.4 Å³ per cell
N(E_F) = 3.744 states/eV per cell

Unit cell a=5.2229 b=5.2229 c=5.1095 alpha=90.00 beta=90.00 gamma=90.00
With the nearest neighbours (Å) after each atom.
Fractional positions:
Cd 0.0000 0.5000 0.0000  2 Re 2.61
Cd 0.5000 0.0000 0.0000  2 Re 2.61
Re 0.0000 0.0000 0.0000  2 Ag 2.55, 4 Cd 2.61
Ag 0.0000 0.0000 0.5000  2 Re 2.55
Pb 0.5000 0.5000 0.5000  8 Cd 3.65, 4 Ag 3.69

***

(2)
Density functional theory data (PBE-GGA) for a geometry-optimized Ba2HfPtRh structure.

Output
SG = P4/mmm (123)
Electronic total energy = -4.5759 eV/atom
Spin magnetization = 0.3810 μB per atom
V = 189.0 Å³ per cell
N(E_F) = 5.662 states/eV per cell

Unit cell a=6.2586 b=6.2586 c=4.8245 alpha=90.00 beta=90.00 gamma=90.00
With the nearest neighbours (Å) after each atom.
Fractional positions:
Ba 0.0000 0.5000 0.0000  2 Hf 3.13
Ba 0.5000 0.0000 0.0000  2 Hf 3.13
Hf 0.0000 0.0000 0.0000  2 Pt 2.41
Pt 0.0000 0.0000 0.5000  2 Hf 2.41
Rh 0.5000 0.5000 0.5000  8 Ba 3.95

***

(3)
Density functional theory data (PBE-GGA) for a geometry-optimized Ce2YTc structure.

Output
SG = P4/mmm (123)
Electronic total energy = -7.1129 eV/atom
Spin magnetization = 0.3657 μB per atom
V = 104.2 Å³ per cell
N(E_F) = 10.212 states/eV per cell

Unit cell a=3.4358 b=3.4358 c=8.8249 alpha=90.00 beta=90.00 gamma=90.00
With the nearest neighbours (Å) after each atom.
Fractional positions:
Ce 0.0000 0.0000 0.1957  4 Tc 2.98
Ce 0.0000 0.0000 0.8043  4 Tc 2.98
Y 0.5000 0.5000 0.5000  4 Y 3.44, 8 Ce 3.62
Tc 0.5000 0.5000 0.0000  8 Ce 2.98

***

(4)
Density functional theory data (PBE-GGA) for a geometry-optimized SrTbCl5 structure.

Output
SG = P2_1/c (14)
Electronic total energy = -4.5546 eV/atom
Spin magnetization = 0.0000 μB per atom
V = 923.2 Å³ per cell
N(E_F) = 0.000 states/eV per cell
Formation energy without anion corrections = -2.334 eV per atom

Unit cell a=7.1922 b=13.5114 c=10.0837 alpha=90.00 beta=109.59 gamma=90.00
With the nearest neighbours (Å) after each atom.
Fractional positions:
Sr 0.0353 0.0201 0.2565  7 Cl 2.88-3.20
Sr 0.0353 0.4799 0.7565  7 Cl 2.88-3.20
Sr 0.9647 0.5201 0.2435  7 Cl 2.88-3.20
Sr 0.9647 0.9799 0.7435  7 Cl 2.88-3.20
Tb 0.3940 0.2437 0.6027  6 Cl 2.58-2.72
Tb 0.3940 0.2563 0.1027  6 Cl 2.58-2.72
Tb 0.6060 0.7437 0.8973  6 Cl 2.58-2.72
Tb 0.6060 0.7563 0.3973  6 Cl 2.58-2.72
Cl 0.0797 0.1197 0.5540  1 Tb 2.72, 1 Sr 2.99
Cl 0.0797 0.3803 0.0540  1 Tb 2.72, 1 Sr 2.99
Cl 0.1402 0.1074 0.9955  1 Tb 2.69, 1 Sr 2.98
Cl 0.1402 0.3926 0.4955  1 Tb 2.69, 1 Sr 2.98
Cl 0.3007 0.6463 0.3677  1 Tb 2.58, 1 Sr 2.88
Cl 0.3007 0.8537 0.8677  1 Tb 2.58, 1 Sr 2.88
Cl 0.3526 0.1841 0.3400  2 Tb 2.69
Cl 0.3526 0.3159 0.8400  2 Tb 2.69
Cl 0.3906 0.5914 0.7867  1 Tb 2.59, 1 Sr 2.89
Cl 0.3906 0.9086 0.2867  1 Tb 2.59, 1 Sr 2.89
Cl 0.6094 0.0914 0.7133  1 Tb 2.59, 1 Sr 2.89
Cl 0.6094 0.4086 0.2133  1 Tb 2.59, 1 Sr 2.89
Cl 0.6474 0.6841 0.1600  2 Tb 2.69
Cl 0.6474 0.8159 0.6600  2 Tb 2.69
Cl 0.6993 0.1463 0.1323  1 Tb 2.58, 1 Sr 2.88
Cl 0.6993 0.3537 0.6323  1 Tb 2.58, 1 Sr 2.88
Cl 0.8598 0.6074 0.5045  1 Tb 2.69, 1 Sr 2.98
Cl 0.8598 0.8926 0.0045  1 Tb 2.69, 1 Sr 2.98
Cl 0.9203 0.6197 0.9460  1 Tb 2.72, 1 Sr 2.99
Cl 0.9203 0.8803 0.4460  1 Tb 2.72, 1 Sr 2.99

***

(5)
Density functional theory data (PBE-GGA) for a geometry-optimized MgBi structure.

Output
SG = Fm-3m (225)
Electronic total energy = -2.7792 eV/atom
Spin magnetization = 0.0000 μB per atom
V = 229.0 Å³ per cell
N(E_F) = 4.621 states/eV per cell

Unit cell a=6.1177 b=6.1177 c=6.1177 alpha=90.00 beta=90.00 gamma=90.00
With the nearest neighbours (Å) after each atom.
Fractional positions:
Mg 0.0000 0.0000 0.0000  6 Bi 3.06
Mg 0.0000 0.5000 0.5000  6 Bi 3.06
Mg 0.5000 0.0000 0.5000  6 Bi 3.06
Mg 0.5000 0.5000 0.0000  6 Bi 3.06
Bi 0.0000 0.0000 0.5000  6 Mg 3.06
Bi 0.0000 0.5000 0.0000  6 Mg 3.06
Bi 0.5000 0.0000 0.0000  6 Mg 3.06
Bi 0.5000 0.5000 0.5000  6 Mg 3.06

***

(6)
Density functional theory data (PBE-GGA) for a geometry-optimized AlTe2PN structure.

Output
SG = P4/mmm (123)
Electronic total energy = -4.1821 eV/atom
Spin magnetization = 0.0000 μB per atom
V = 104.5 Å³ per cell
N(E_F) = 4.494 states/eV per cell
Formation energy without anion corrections = 0.570 eV per atom

Unit cell a=5.4586 b=5.4586 c=3.5081 alpha=90.00 beta=90.00 gamma=90.00
With the nearest neighbours (Å) after each atom.
Fractional positions:
Al 0.0000 0.0000 0.0000  2 N 1.75
Te 0.0000 0.5000 0.0000  2 Al 2.73
Te 0.5000 0.0000 0.0000  2 Al 2.73
P 0.5000 0.5000 0.5000  8 Te 3.24, 2 P 3.51
N 0.0000 0.0000 0.5000  2 Al 1.75